Pr7In2Pt2 | PBE | optimized geometry

Unit cell a=7.165 b=7.321 c=7.165 alpha=90.00 beta=107.02 gamma=90.00
Atoms (fractional coordinates):
Pr  0.000  0.256  0.500
Pr  0.500  0.744  0.000
Pr  0.000  0.744  0.500
Pr  0.500  0.256  0.000
Pr  0.000  0.000  0.000
Pr  0.500  0.750  0.500
Pr  0.500  0.250  0.500
In  0.832  0.500  0.832
In  0.168  0.500  0.168
Pt  0.711  0.000  0.289
Pt  0.289  0.000  0.711

VASP energy: -56.4 eV/cell
N(E_F): 1.068 states/eV per atom
space group: Cmmm
energy of formation: -0.494 eV per atom

---

K3C | PBE | optimized geometry

Unit cell a=4.462 b=7.978 c=7.977 alpha=43.79 beta=90.00 gamma=90.00
Atoms (fractional coordinates):
K  0.500  0.870  0.870
K  0.000  0.500  0.500
K  0.500  0.130  0.130
C  0.000  0.000  0.000

VASP energy: -8.3 eV/cell
N(E_F): 0.678 states/eV per atom
space group: Cmmm
energy of formation: 1.048 eV per atom

---

Dy2NiPd | PBE | optimized geometry

Unit cell a=4.885 b=4.885 c=4.885 alpha=60.00 beta=60.00 gamma=60.00
Atoms (fractional coordinates):
Ni  0.500  0.500  0.500
Pd  0.000  0.000  0.000
Dy  0.250  0.250  0.250
Dy  0.750  0.750  0.750

VASP energy: -22.7 eV/cell
N(E_F): 0.981 states/eV per atom
space group: Fm-3m
energy of formation: -0.622 eV per atom

---

SiHgIr2 | PBE | optimized geometry

Unit cell a=4.439 b=2.931 c=5.294 alpha=73.76 beta=90.00 gamma=90.00
Atoms (fractional coordinates):
Hg  0.500  0.685  0.749
Ir  0.000  0.042  0.045
Ir  0.500  0.426  0.273
Si  0.000  0.347  0.433

VASP energy: -22.6 eV/cell
N(E_F): 0.607 states/eV per atom
formation energy from raw total energies: 22 kJ/mol of atoms
space group: Pm